No. 1
VASP calculation (PBE) on a relaxed structure of PrSmGa.

energy above the most stable polymorph in this dataset = 0.21 eV/f.u.
spin magnetization = 0.0 μB/cell
formation energy = -328 meV/atom

Unit cell a=3.5763 b=3.5763 c=13.5631 alpha=90.00 beta=90.00 gamma=90.00
Space group I4mm (No. 107)
Inequivalent atoms, fractional coordinates:
Pr 0.0000 0.0000 0.0000 (multiplicity 2)
Sm 0.0000 0.0000 0.2861 (multiplicity 2)
Ga 0.0000 0.0000 0.6475 (multiplicity 2)

=====

No. 2
VASP calculation (PBE) on a relaxed structure of Pr2Sm3Ga4.

energy above the most stable polymorph in this dataset = 1.22 eV/f.u.
spin magnetization = 0.0 μB/cell
formation energy = -403 meV/atom

Unit cell a=7.0960 b=15.8615 c=8.8135 alpha=90.00 beta=90.00 gamma=90.00
Space group Cmce (No. 64)
Inequivalent atoms, fractional coordinates:
Pr 0.0000 0.1062 0.0751 (multiplicity 8)
Sm 0.0000 0.0000 0.5000 (multiplicity 4)
Sm 0.2500 0.2189 0.7500 (multiplicity 8)
Ga 0.0000 0.1873 0.4655 (multiplicity 8)
Ga 0.2500 0.0309 0.7500 (multiplicity 8)

=====

No. 3
VASP calculation (PBE) on a relaxed structure of Pr2Sm2Ga.

spin magnetization = 0.0 μB/cell
formation energy = 281 meV/atom

Unit cell a=4.3142 b=4.3142 c=18.2770 alpha=90.00 beta=90.00 gamma=90.00
Space group I4/mmm (No. 139)
Inequivalent atoms, fractional coordinates:
Pr 0.0000 0.0000 0.0836 (multiplicity 4)
Sm 0.0000 0.5000 0.2500 (multiplicity 4)
Ga 0.0000 0.0000 0.5000 (multiplicity 2)

=====

No. 4
VASP calculation (PBE) on a relaxed structure of PrSmGa.

energy above the most stable polymorph in this dataset = 0.79 eV/f.u.
spin magnetization = 1.0 μB/cell
formation energy = -135 meV/atom

Unit cell a=5.0328 b=5.0328 c=8.7048 alpha=90.00 beta=90.00 gamma=120.00
Space group P-6m2 (No. 187)
Inequivalent atoms, fractional coordinates:
Pr 0.0000 0.0000 0.2285 (multiplicity 2)
Sm 0.3333 0.6667 0.0000 (multiplicity 1)
Sm 0.6667 0.3333 0.5000 (multiplicity 1)
Ga 0.3333 0.6667 0.3525 (multiplicity 2)

=====

No. 5
VASP calculation (PBE) on a relaxed structure of Pr2Sm5Ga5.

spin magnetization = 0.0 μB/cell
formation energy = -384 meV/atom

Unit cell a=11.4999 b=4.5636 c=13.6934 alpha=90.00 beta=109.67 gamma=90.00
Space group C2/m (No. 12)
Inequivalent atoms, fractional coordinates:
Pr 0.0164 0.0000 0.2796 (multiplicity 4)
Sm 0.0000 0.5000 0.0000 (multiplicity 2)
Sm 0.1679 0.5000 0.5384 (multiplicity 4)
Sm 0.2354 0.5000 0.8231 (multiplicity 4)
Ga 0.0000 0.0000 0.5000 (multiplicity 2)
Ga 0.1700 0.0000 0.9474 (multiplicity 4)
Ga 0.2123 0.5000 0.3076 (multiplicity 4)

=====

No. 6
VASP calculation (PBE) on a relaxed structure of Pr5Sm12Ga3.

spin magnetization = 0.0 μB/cell
formation energy = 642 meV/atom

Unit cell a=17.6406 b=17.6406 c=17.6406 alpha=90.00 beta=90.00 gamma=90.00
Space group Ia-3d (No. 230)
Inequivalent atoms, fractional coordinates:
Pr 0.0000 0.0000 0.0000 (multiplicity 16)
Pr 0.0000 0.2500 0.3750 (multiplicity 24)
Sm 0.0143 0.0822 0.6576 (multiplicity 96)
Ga 0.0000 0.2500 0.1250 (multiplicity 24)

=====

- Among the records above, which one has the lowest formation energy?
  Pr2Sm3Ga4